First-principles (GGA-PBE) data for crystalline TiAlGa4Co2 at its relaxed geometry, as listed in Alexandria via LeMat-Bulk.

ρ: 6.15 Mg/m³
D(E_F): 1.03 states/eV/atom
ΔE_f: 0.30 eV per formula unit
E: -37.7 eV per cell
crystal system: tetragonal
space group: P4/mmm

a = 3.589 Å, b = 3.589 Å, c = 9.878 Å
α = 90.00°, β = 90.00°, γ = 90.00°
Positions (direct):
Ti: 0.000 0.000 0.000
Al: 0.000 0.000 0.500
Ga: 0.000 0.500 0.213
Ga: 0.500 0.000 0.787
Ga: 0.500 0.000 0.213
Ga: 0.000 0.500 0.787
Co: 0.500 0.500 0.386
Co: 0.500 0.500 0.614